A plane-wave DFT calculation with PBEsol was carried out for an optimized crystal structure of CuTc2Br.

## Properties
Its relative energy among the computed polymorphs is 113.9 meV/atom. The uncorrected formation energy is 748 meV per atom. As for the space group: C2/m. As for the total energy: -6.4365 eV per atom. The density of states at the Fermi level comes out at 4.45 states/eV/f.u.

Cell lengths 2.8875, 4.4090, 4.9376 Å; angles 100.93, 90.00, 109.11 degrees
Fractional coordinates of all 4 atoms:
Cu (0.5000, 0.0000, 0.0000)
Br (0.0000, 0.0000, 0.5000)
Tc (0.7500, 0.5001, 0.7783)
Tc (0.2500, 0.4999, 0.2217)

***

A plane-wave DFT calculation with PBEsol was carried out for an optimized crystal structure of LiPm2Pb.

## Properties
As for the space group: Fm-3m. As for the total energy: -4.4036 eV per atom. The energy of formation from the pure elements comes out at -0.3439 eV per atom. The density of states at the Fermi level comes out at 3.11 states/eV/f.u.

Cell lengths 5.3343, 5.3343, 5.3343 Å; angles 60.00, 60.00, 60.00 degrees
Fractional coordinates of all 4 atoms:
Pb (0.0000, 0.0000, 0.0000)
Li (0.5000, 0.5000, 0.5000)
Pm (0.7500, 0.7500, 0.7500)
Pm (0.2500, 0.2500, 0.2500)

***

A plane-wave DFT calculation with PBEsol was carried out for an optimized crystal structure of NiBi2O6.

## Properties
The uncorrected formation energy is -821 meV per atom. As for the space group: P4_2/mnm. As for the total energy: -5.9575 eV per atom. The density of states at the Fermi level comes out at 3.87 states/eV/f.u.

Cell lengths 4.8521, 4.8521, 9.7043 Å; angles 90.00, 90.00, 90.00 degrees
Site moments in Bohr magnetons follow the coordinates.
Fractional coordinates of all 18 atoms:
O (0.2806, 0.2806, 0.5000)  0.03
O (0.7806, 0.2194, 0.0000)  0.03
O (0.8183, 0.1817, 0.3497)  0.02
O (0.7194, 0.7194, 0.5000)  0.03
O (0.1817, 0.8183, 0.3497)  0.02
O (0.3183, 0.3183, 0.1503)  0.02
O (0.2194, 0.7806, 0.0000)  0.03
O (0.8183, 0.1817, 0.6503)  0.02
O (0.3183, 0.3183, 0.8497)  0.02
O (0.6817, 0.6817, 0.8497)  0.02
O (0.6817, 0.6817, 0.1503)  0.02
O (0.1817, 0.8183, 0.6503)  0.02
Bi (0.5000, 0.5000, 0.6656)  0.01
Bi (0.0000, 0.0000, 0.1656)  0.01
Bi (0.0000, 0.0000, 0.8344)  0.01
Bi (0.5000, 0.5000, 0.3344)  0.01
Ni (0.0000, 0.0000, 0.5000)  0.27
Ni (0.5000, 0.5000, 0.0000)  0.27

***

A plane-wave DFT calculation with PBEsol was carried out for an optimized crystal structure of Ru2PtCl.

## Properties
Its relative energy among the computed polymorphs is 0.0 meV/atom. The uncorrected formation energy is 802 meV per atom. As for the space group: I4/mmm. As for the total energy: -6.5276 eV per atom. The density of states at the Fermi level comes out at 4.16 states/eV/f.u.

Cell lengths 4.1750, 4.4058, 4.1750 Å; angles 61.72, 90.00, 118.28 degrees
Fractional coordinates of all 4 atoms:
Pt (0.0000, 0.0000, 0.0000)
Ru (0.7500, 0.5000, 0.7500)
Ru (0.2500, 0.5000, 0.2500)
Cl (0.5000, 0.0000, 0.5000)

***

A plane-wave DFT calculation with PBEsol was carried out for an optimized crystal structure of DyP2H5O10.

## Properties
As for the space group: P1. As for the total energy: -6.6280 eV per atom. The density of states at the Fermi level comes out at 0.00 states/eV/f.u.

Cell lengths 6.3809, 6.8541, 9.6991 Å; angles 82.97, 82.70, 89.30 degrees
Site moments in Bohr magnetons follow the coordinates.
Fractional coordinates of all 36 atoms:
H (0.9832, 0.1781, 0.0230)  0.00
H (0.8626, 0.8075, 0.7832)  0.00
H (0.0174, 0.8332, 0.9746)  0.00
H (0.2387, 0.7467, 0.7593)  0.00
H (0.3712, 0.2892, 0.1564)  0.00
H (0.2923, 0.5211, 0.7313)  0.00
H (0.1373, 0.2044, 0.2149)  0.00
H (0.7617, 0.2645, 0.2382)  0.00
H (0.6287, 0.7220, 0.8412)  0.00
H (0.7083, 0.4902, 0.2663)  0.00
P (0.1916, 0.7693, 0.4317)  0.00
P (0.9305, 0.8594, 0.2047)  0.00
P (0.8090, 0.2422, 0.5658)  0.00
P (0.0701, 0.1519, 0.7928)  0.00
O (0.9574, 0.7560, 0.0698)  0.00
O (0.3520, 0.6542, 0.7285)  0.00
O (0.9236, 0.0839, 0.1704)  0.00
O (0.9836, 0.7479, 0.5235)  0.00
O (0.8528, 0.1993, 0.7270)  0.00
O (0.5305, 0.1032, 0.9926)  0.81
O (0.4734, 0.9309, 0.0016)  0.81
O (0.0169, 0.2636, 0.4740)  0.00
O (0.6486, 0.3571, 0.2693)  0.00
O (0.7469, 0.7646, 0.3027)  0.00
O (0.7367, 0.7394, 0.7600)  0.00
O (0.2633, 0.2727, 0.2377)  0.00
O (0.1479, 0.8122, 0.2705)  0.00
O (0.3387, 0.5912, 0.4395)  0.00
O (0.2538, 0.2466, 0.6949)  0.00
O (0.6619, 0.4204, 0.5582)  0.00
O (0.6685, 0.0747, 0.5368)  0.00
O (0.3320, 0.9369, 0.4607)  0.00
O (0.0433, 0.2552, 0.9277)  0.00
O (0.0768, 0.9274, 0.8271)  0.00
Dy (0.6280, 0.7467, 0.5390)  0.00
Dy (0.3725, 0.2648, 0.4586)  0.00

***

A plane-wave DFT calculation with PBEsol was carried out for an optimized crystal structure of LaCoH3.

## Properties
As for the space group: Pm-3m. As for the total energy: -5.0441 eV per atom. The density of states at the Fermi level comes out at 2.41 states/eV/f.u.

Cell lengths 3.6106, 3.6106, 3.6106 Å; angles 90.00, 90.00, 90.00 degrees
Fractional coordinates of all 5 atoms:
Co (0.0000, 0.0000, 0.0000)
H (0.0000, 0.0000, 0.5000)
H (0.0000, 0.5000, 0.0000)
H (0.5000, 0.0000, 0.0000)
La (0.5000, 0.5000, 0.5000)